*A*
SrAs2RuSe: optimized geometry, PBEsol.

Lattice parameters (Å, degrees): 4.6265 4.6265 5.5837 90.00 90.00 90.00
Atoms (fractional coordinates):
Sr (0.0000, 0.0000, 0.0000)
As (0.0000, 0.5000, 0.5000)
As (0.5000, 0.0000, 0.5000)
Ru (0.5000, 0.5000, 0.5000)
Se (0.5000, 0.5000, 0.0000)


*B*
SrAs2RuSe: optimized geometry, PBEsol.

Lattice parameters (Å, degrees): 5.3867 5.3867 5.4123 90.00 90.00 90.00
Atoms (fractional coordinates):
Sr (0.0000, 0.0000, 0.0000)
As (0.0000, 0.5000, 0.0000)
As (0.5000, 0.0000, 0.0000)
Ru (0.5000, 0.5000, 0.5000)
Se (0.0000, 0.0000, 0.5000)


Which one sits at the bottom of the stability order? *B* does.


*A*
TlAsRu2: optimized geometry, PBEsol.

Lattice parameters (Å, degrees): 2.8976 3.7785 6.1121 90.00 90.00 90.00
Atoms (fractional coordinates):
Tl (0.0000, 0.0000, 0.0000)
As (0.5000, 0.5000, 0.3586)
Ru (0.0000, 0.0000, 0.5046)
Ru (0.5000, 0.5000, 0.7489)


*B*
TlAsRu2: optimized geometry, PBEsol.

Lattice parameters (Å, degrees): 4.4434 4.4434 3.1635 90.00 90.00 90.00
Atoms (fractional coordinates):
Tl (0.0000, 0.0000, 0.0000)
As (0.5000, 0.5000, 0.0000)
Ru (0.0000, 0.5000, 0.5000)
Ru (0.5000, 0.0000, 0.5000)


*C*
TlAsRu2: optimized geometry, PBEsol.

Lattice parameters (Å, degrees): 3.8777 3.8777 7.2436 108.54 108.54 44.96
Atoms (fractional coordinates):
Tl (0.0000, 0.0000, 0.0000)
As (0.5000, 0.5000, 0.5000)
Ru (0.2741, 0.2741, 0.6731)
Ru (0.7259, 0.7259, 0.3269)


Which one sits at the bottom of the stability order? *B* does.